No. 1
{
  "formula": "Np3Ge3Ir2",
  "functional": "PBE",
  "state": "optimized geometry",
  "lattice_angstrom": [[7.945, 0.000, 0.000], [0.000, 14.525, 0.000], [0.000, 0.000, 5.573]],
  "species": ["Np", "Np", "Np", "Np", "Np", "Np", "Np", "Np", "Np", "Np", "Np", "Np", "Ge", "Ge", "Ge", "Ge", "Ge", "Ge", "Ge", "Ge", "Ge", "Ge", "Ge", "Ge", "Ir", "Ir", "Ir", "Ir", "Ir", "Ir", "Ir", "Ir"],
  "fractional_positions": [[0.036, 0.108, 0.111], [0.036, 0.392, 0.111], [0.168, 0.250, 0.640], [0.332, 0.750, 0.140], [0.464, 0.608, 0.611], [0.464, 0.892, 0.611], [0.536, 0.108, 0.389], [0.536, 0.392, 0.389], [0.668, 0.250, 0.860], [0.832, 0.750, 0.360], [0.964, 0.608, 0.889], [0.964, 0.892, 0.889], [0.181, 0.750, 0.644], [0.187, 0.036, 0.604], [0.187, 0.464, 0.604], [0.313, 0.536, 0.104], [0.313, 0.964, 0.104], [0.319, 0.250, 0.144], [0.681, 0.750, 0.856], [0.687, 0.036, 0.896], [0.687, 0.464, 0.896], [0.813, 0.536, 0.396], [0.813, 0.964, 0.396], [0.819, 0.250, 0.356], [0.098, 0.613, 0.372], [0.098, 0.887, 0.372], [0.402, 0.113, 0.872], [0.402, 0.387, 0.872], [0.598, 0.613, 0.128], [0.598, 0.887, 0.128], [0.902, 0.113, 0.628], [0.902, 0.387, 0.628]],
  "space_group": "Pnma",
  "total_magnetization_mub_per_fu": 10.90,
  "n_ef_per_ev_atom": 2.57,
  "energy_ev_per_atom": -9.139
}

=====

No. 2
{
  "formula": "LiPmTh2Te5",
  "functional": "PBE",
  "state": "optimized geometry",
  "lattice_angstrom": [[2.164, -9.368, 0.000], [2.164, 9.368, 0.000], [0.000, 0.000, 13.401]],
  "species": ["Li", "Li", "Pm", "Pm", "Th", "Th", "Th", "Th", "Te", "Te", "Te", "Te", "Te", "Te", "Te", "Te", "Te", "Te"],
  "fractional_positions": [[0.058, 0.942, 0.500], [0.942, 0.058, 0.000], [0.299, 0.701, 0.042], [0.701, 0.299, 0.542], [0.370, 0.630, 0.337], [0.393, 0.607, 0.717], [0.607, 0.393, 0.217], [0.630, 0.370, 0.837], [0.002, 0.998, 0.822], [0.132, 0.868, 0.035], [0.187, 0.813, 0.374], [0.217, 0.783, 0.707], [0.453, 0.547, 0.113], [0.547, 0.453, 0.613], [0.783, 0.217, 0.207], [0.813, 0.187, 0.874], [0.868, 0.132, 0.535], [0.998, 0.002, 0.322]],
  "space_group": "Cmc2_1",
  "formation_energy_uncorrected_kj_per_mol_atoms": -109,
  "total_magnetization_mub_per_fu": 0.00,
  "n_ef_per_ev_atom": 0.65,
  "energy_ev_per_atom": -5.269
}

=====

No. 3
{
  "formula": "Tb4Nd2Dy5",
  "functional": "PBE",
  "state": "optimized geometry",
  "lattice_angstrom": [[-1.752, 4.539, 11.627], [1.752, -4.539, 11.627], [1.752, 4.539, -11.627]],
  "species": ["Tb", "Tb", "Tb", "Tb", "Nd", "Nd", "Dy", "Dy", "Dy", "Dy", "Dy"],
  "fractional_positions": [[0.097, 0.097, 0.000], [0.193, 0.500, 0.693], [0.807, 0.500, 0.307], [0.903, 0.903, 0.000], [0.232, 0.232, 0.000], [0.768, 0.768, 0.000], [0.163, 0.358, 0.805], [0.447, 0.642, 0.805], [0.500, 0.000, 0.500], [0.553, 0.358, 0.195], [0.837, 0.642, 0.195]],
  "space_group": "Immm",
  "total_magnetization_mub_per_fu": 0.00,
  "n_ef_per_ev_atom": 1.49,
  "energy_ev_per_atom": -4.429
}

=====

No. 4
{
  "formula": "Ba6Tl3Ag",
  "functional": "PBE",
  "state": "optimized geometry",
  "lattice_angstrom": [[8.590, 0.000, 0.000], [0.000, 9.520, 0.000], [-6.864, 0.000, 11.783]],
  "species": ["Ba", "Ba", "Ba", "Ba", "Ba", "Ba", "Ba", "Ba", "Ba", "Ba", "Ba", "Ba", "Tl", "Tl", "Tl", "Tl", "Tl", "Tl", "Ag", "Ag"],
  "fractional_positions": [[0.079, 0.058, 0.257], [0.079, 0.442, 0.757], [0.225, 0.687, 0.075], [0.225, 0.813, 0.575], [0.390, 0.164, 0.064], [0.390, 0.336, 0.564], [0.610, 0.664, 0.436], [0.610, 0.836, 0.936], [0.775, 0.187, 0.425], [0.775, 0.313, 0.925], [0.921, 0.558, 0.243], [0.921, 0.942, 0.743], [0.312, 0.120, 0.758], [0.312, 0.380, 0.258], [0.500, 0.000, 0.500], [0.500, 0.500, 0.000], [0.688, 0.620, 0.742], [0.688, 0.880, 0.242], [0.000, 0.000, 0.000], [0.000, 0.500, 0.500]],
  "space_group": "P2_1/c",
  "total_magnetization_mub_per_fu": 0.00,
  "n_ef_per_ev_atom": 1.19,
  "energy_ev_per_atom": -2.362
}

=====

No. 5
{
  "formula": "Sm11In9Ru4",
  "functional": "PBE",
  "state": "optimized geometry",
  "lattice_angstrom": [[7.318, -10.930, 0.000], [7.318, 10.930, 0.000], [0.000, 0.000, 3.845]],
  "species": ["Sm", "Sm", "Sm", "Sm", "Sm", "Sm", "Sm", "Sm", "Sm", "Sm", "Sm", "In", "In", "In", "In", "In", "In", "In", "In", "In", "Ru", "Ru", "Ru", "Ru"],
  "fractional_positions": [[0.000, 0.000, 0.000], [0.082, 0.417, 0.000], [0.163, 0.837, 0.000], [0.312, 0.312, 0.000], [0.373, 0.627, 0.000], [0.417, 0.082, 0.000], [0.583, 0.918, 0.000], [0.627, 0.373, 0.000], [0.688, 0.688, 0.000], [0.837, 0.163, 0.000], [0.918, 0.583, 0.000], [0.077, 0.219, 0.500], [0.158, 0.632, 0.500], [0.219, 0.077, 0.500], [0.368, 0.842, 0.500], [0.500, 0.500, 0.500], [0.632, 0.158, 0.500], [0.781, 0.923, 0.500], [0.842, 0.368, 0.500], [0.923, 0.781, 0.500], [0.252, 0.451, 0.500], [0.451, 0.252, 0.500], [0.549, 0.748, 0.500], [0.748, 0.549, 0.500]],
  "space_group": "Cmmm",
  "total_magnetization_mub_per_fu": 0.00,
  "n_ef_per_ev_atom": 0.71,
  "energy_ev_per_atom": -5.193
}

=====

No. 6
{
  "formula": "NiSe2Br",
  "functional": "PBE",
  "state": "optimized geometry",
  "lattice_angstrom": [[-4.376, 4.376, 2.754], [4.376, -4.376, 2.754], [4.376, 4.376, -2.754]],
  "species": ["Ni", "Ni", "Se", "Se", "Se", "Se", "Br", "Br"],
  "fractional_positions": [[0.250, 0.750, 0.500], [0.750, 0.250, 0.500], [0.144, 0.644, 0.787], [0.356, 0.144, 0.500], [0.644, 0.856, 0.500], [0.856, 0.356, 0.213], [0.250, 0.250, 0.000], [0.750, 0.750, 0.000]],
  "space_group": "I4/mcm",
  "formation_energy_uncorrected_kj_per_mol_atoms": 12,
  "total_magnetization_mub_per_fu": 0.00,
  "n_ef_per_ev_atom": 1.24,
  "energy_ev_per_atom": -3.479
}

=====

No. 7
{
  "formula": "Y2TaVRe",
  "functional": "PBE",
  "state": "optimized geometry",
  "lattice_angstrom": [[5.121, 0.000, 0.000], [0.000, 5.121, 0.000], [0.000, 0.000, 4.462]],
  "species": ["Y", "Y", "Ta", "V", "Re"],
  "fractional_positions": [[0.000, 0.500, 0.000], [0.500, 0.000, 0.000], [0.000, 0.000, 0.500], [0.500, 0.500, 0.000], [0.500, 0.500, 0.500]],
  "space_group": "P4/mmm",
  "total_magnetization_mub_per_fu": 0.00,
  "n_ef_per_ev_atom": 1.34,
  "energy_ev_per_atom": -8.040
}

=====

No. 8
{
  "formula": "Pm2Zn3Cu12Rh",
  "functional": "PBE",
  "state": "optimized geometry",
  "lattice_angstrom": [[3.041, 1.756, 9.258], [-3.041, 1.756, 9.258], [0.000, -3.511, 9.258]],
  "species": ["Pm", "Pm", "Zn", "Zn", "Zn", "Cu", "Cu", "Cu", "Cu", "Cu", "Cu", "Cu", "Cu", "Cu", "Cu", "Cu", "Cu", "Rh"],
  "fractional_positions": [[0.148, 0.148, 0.148], [0.852, 0.852, 0.852], [0.000, 0.500, 0.500], [0.500, 0.000, 0.500], [0.500, 0.500, 0.000], [0.082, 0.082, 0.689], [0.082, 0.689, 0.082], [0.140, 0.573, 0.573], [0.311, 0.918, 0.918], [0.427, 0.427, 0.860], [0.427, 0.860, 0.427], [0.573, 0.140, 0.573], [0.573, 0.573, 0.140], [0.689, 0.082, 0.082], [0.860, 0.427, 0.427], [0.918, 0.311, 0.918], [0.918, 0.918, 0.311], [0.500, 0.500, 0.500]],
  "space_group": "R-3m",
  "total_magnetization_mub_per_fu": 0.00,
  "n_ef_per_ev_atom": 0.41,
  "energy_ev_per_atom": -3.772
}